i:
Material: NaCdSCl2
Method: DFT, GGA-PBE
State: relaxed

Lattice parameters (Å, degrees): 5.329 5.329 5.040 90.00 90.00 90.00
Fractional coordinates of all 5 atoms:
Na  0.000  0.000  0.000
Cd  0.500  0.500  0.500
S  0.500  0.500  0.000
Cl  0.000  0.500  0.500
Cl  0.500  0.000  0.500

Properties
V (Å³/atom): 28.63
Mass density (g cm⁻³): 2.8

ii:
Material: NaCdSCl2
Method: DFT, GGA-PBE
State: relaxed

Lattice parameters (Å, degrees): 4.930 4.930 5.312 90.00 90.00 90.00
Fractional coordinates of all 5 atoms:
Na  0.000  0.000  0.000
Cd  0.500  0.500  0.500
S  0.000  0.000  0.500
Cl  0.000  0.500  0.000
Cl  0.500  0.000  0.000

Properties
V (Å³/atom): 25.82
Mass density (g cm⁻³): 3.1

Quick one: least stable of them? ii